VASP calculation (PBE) on an optimized crystal structure of Tb3Pr7Sm2.

```
Tb3Pr7Sm2
1.0
6.557 0.000 0.000
0.000 3.602 0.000
-1.794 0.000 17.735
Tb Pr Sm
3 7 2
Direct
0.000 0.000 0.000 Tb
0.044 0.500 0.660 Tb
0.956 0.500 0.340 Tb
0.222 0.500 0.166 Pr
0.243 0.000 0.506 Pr
0.275 0.000 0.829 Pr
0.500 0.500 0.000 Pr
0.725 0.000 0.171 Pr
0.757 0.000 0.494 Pr
0.778 0.500 0.834 Pr
0.441 0.000 0.330 Sm
0.559 0.000 0.670 Sm
```

Summary:
**Space-group type**: P2/m
**Uncorrected energy**: -55.99 eV per formula unit
**DFT formation energy**: 0.066 eV per atom
**E above lowest polymorph**: 0 meV/atom